Record 1
Dy8Y6Cd | Alexandria via LeMat-Bulk | PBE-GGA | optimized geometry; mass density = 6.750 g cm⁻³; space-group type = P-3; E_form = 96 meV per atom; calculated volume = 479 Å³/cell
1.0
6.2721 0.0000 0.0000
0.0000 8.1301 -4.6939
0.0000 0.0000 9.3878
Dy Cd Y
8 1 6
direct
0.1900 0.2650 0.2235
0.1900 0.7765 0.0415
0.8097 0.3333 0.6667
0.1900 0.9585 0.7350
0.8100 0.2235 0.9585
0.1903 0.6667 0.3333
0.8100 0.7350 0.7765
0.8100 0.0415 0.2650
0.5000 0.0000 0.0000
0.6872 0.6382 0.0926
0.6872 0.9074 0.5455
0.3128 0.3618 0.9074
0.6872 0.4545 0.3618
0.3128 0.5455 0.6382
0.3128 0.0926 0.4545

---

Record 2
DyYCd | Alexandria via LeMat-Bulk | PBE-GGA | optimized geometry; mass density = 6.255 g cm⁻³; space-group type = F-43m; E_form = 82 meV per atom; calculated volume = 97 Å³/cell; energy above the most stable polymorph in this dataset = 0.285 eV/atom
1.0
5.1476 0.0000 0.0000
2.5738 4.4519 0.2803
2.5738 1.2179 4.2912
Cd Y Dy
1 1 1
direct
0.0000 0.0000 0.0000
0.7502 0.7498 0.7498
0.2498 0.2502 0.2502